! RbNiAuCl6 | the Alexandria database | PBE | relaxed; values from VASP
&SYSTEM
  ibrav = 0, nat = 9, ntyp = 4
/
ATOMIC_SPECIES
Cl 35.45 Cl.upf
Rb 85.47 Rb.upf
Au 196.97 Au.upf
Ni 58.69 Ni.upf
ATOMIC_POSITIONS crystal
Cl 0.3590 0.0166 0.6863
Cl 0.0165 0.3591 0.3137
Cl 0.3591 0.6244 0.3137
Cl 0.6244 0.0165 0.3137
Cl 0.6243 0.3591 0.6863
Cl 0.0165 0.6244 0.6863
Rb 0.0000 0.0000 0.0000
Au 0.6667 0.6666 0.5000
Ni 0.3333 0.3333 0.5000
CELL_PARAMETERS angstrom
6.4372 0.0001 0.0000
3.2187 5.5749 0.0001
0.0001 -0.0002 7.4301
! Size of the total moment (Bohr magnetons per cell): 4.08
! Energy (eV per cell): -27.18
! Calculated density (g/cm³): 3.4